The following is a DFT calculation (PBE) of a geometry-optimized KDyMnS3 structure.

Summary:
Raw formation energy ... -1.408 eV/atom
Mass density ... 3.62 g/cm³
E ... -5.95 eV/atom
M_tot ... 5.006 μB per formula unit

Geometry as POSCAR:
```
KDyMnS3
1.0
-0.6200 0.0656 4.0225
-8.5955 -0.7510 -1.3126
3.4633 -8.8280 0.6778
Mn S Dy K
2 6 2 2
direct
0.2500 0.0873 0.6104
0.7500 0.9127 0.3896
0.2500 0.8006 0.4612
0.7500 0.1994 0.5388
0.7500 0.4598 0.1538
0.7500 0.8827 0.1393
0.2500 0.1173 0.8607
0.2500 0.5402 0.8462
0.2500 0.6651 0.1411
0.7500 0.3349 0.8589
0.2500 0.2034 0.2265
0.7500 0.7966 0.7735
```

---

The following is a DFT calculation (PBE) of a geometry-optimized K2Cu2Bi structure.

Summary:
Mass density ... 4.91 g/cm³
E ... -2.76 eV/atom
Energy relative to the lowest polymorph listed for this composition ... 14 meV/atom
M_tot ... 0.000 μB per formula unit
Formation enthalpy at 0 K ... 0.5 eV/f.u.

Geometry as POSCAR:
```
K2Cu2Bi
1.0
7.1750 0.0000 0.0000
0.0000 7.1750 0.0000
0.0000 0.0000 5.4451
K Cu Bi
4 4 2
direct
0.6844 0.8156 0.5000
0.1844 0.6844 0.5000
0.8156 0.3156 0.5000
0.3156 0.1844 0.5000
0.6214 0.1214 0.0000
0.8786 0.6214 0.0000
0.3786 0.8786 0.0000
0.1214 0.3786 0.0000
0.5000 0.5000 0.0000
0.0000 0.0000 0.0000
```

---

The following is a DFT calculation (PBE) of a geometry-optimized Pr4Y5Ho2 structure.

Summary:
Mass density ... 5.86 g/cm³
E ... -5.29 eV/atom
Energy relative to the lowest polymorph listed for this composition ... 112 meV/atom
M_tot ... 0.000 μB per formula unit
Formation enthalpy at 0 K ... 2.4 eV/f.u.

Geometry as POSCAR:
```
Pr4Y5Ho2
1.0
-0.7999 3.2811 -1.0581
-2.7078 -3.2270 -7.9599
-10.0493 -2.2576 6.5150
Pr Y Ho
4 5 2
direct
0.3696 0.4637 0.7392
0.0272 0.6893 0.0543
0.6304 0.5363 0.2608
0.9728 0.3107 0.9457
0.8220 0.0960 0.6441
0.2318 0.3238 0.4637
0.5000 0.0000 0.0000
0.7682 0.6762 0.5363
0.1780 0.9040 0.3559
0.1014 0.1979 0.2028
0.8986 0.8021 0.7972
```

---

The following is a DFT calculation (PBE) of a geometry-optimized Pm2ZnHgO5 structure.

Summary:
Raw formation energy ... -1.999 eV/atom
Mass density ... 8.04 g/cm³
E ... -5.98 eV/atom
M_tot ... 0.000 μB per formula unit

Geometry as POSCAR:
```
Pm2ZnHgO5
1.0
5.7704 0.0000 0.0000
0.0000 6.7472 0.0000
0.0000 0.0000 6.7472
O Pm Zn Hg
10 4 2 2
direct
0.7492 0.6392 0.8608
0.5000 0.5000 0.5000
0.7492 0.1392 0.6392
0.2508 0.3608 0.1392
0.2508 0.6392 0.8608
0.7492 0.8608 0.3608
0.5000 0.0000 0.0000
0.7492 0.3608 0.1392
0.2508 0.1392 0.6392
0.2508 0.8608 0.3608
0.5000 0.8273 0.6727
0.5000 0.3273 0.8273
0.5000 0.1727 0.3273
0.5000 0.6727 0.1727
0.0000 0.0000 0.5000
0.0000 0.5000 0.0000
0.0000 0.5000 0.5000
0.0000 0.0000 0.0000
```

---

The following is a DFT calculation (PBE) of a geometry-optimized Ti2Co6Mo structure.

Summary:
Mass density ... 7.84 g/cm³
E ... -7.73 eV/atom
M_tot ... 3.215 μB per formula unit
Formation enthalpy at 0 K ... -0.3 eV/f.u.

Geometry as POSCAR:
```
Ti2Co6Mo
1.0
5.3781 -0.0130 -0.0075
0.0460 4.9820 0.0108
0.0460 2.4915 4.3143
Co Mo Ti
6 1 2
direct
0.3299 0.8204 0.3573
0.3327 0.8203 0.8203
0.6701 0.1796 0.6427
0.3299 0.3573 0.8204
0.6701 0.6427 0.1796
0.6673 0.1797 0.1797
0.0000 0.0000 0.0000
0.1523 0.3328 0.3328
0.8477 0.6672 0.6672
```

---

The following is a DFT calculation (PBE) of a geometry-optimized Rb2Ho2TeS6 structure.

Summary:
Raw formation energy ... -1.351 eV/atom
Mass density ... 4.19 g/cm³
E ... -4.90 eV/atom
M_tot ... 0.000 μB per formula unit

Geometry as POSCAR:
```
Rb2Ho2TeS6
1.0
-4.3555 1.1127 -5.2253
-2.4736 -1.2999 6.3011
2.3175 7.7809 1.2503
S Ho Te Rb
6 2 1 2
direct
0.0619 0.3893 0.6862
0.2636 0.2636 0.3135
0.6107 0.9381 0.3138
0.3893 0.0619 0.6862
0.7364 0.7364 0.6865
0.9381 0.6107 0.3138
0.3335 0.6665 0.5000
0.6665 0.3335 0.5000
0.0000 0.0000 0.5000
0.8324 0.1676 0.0000
0.1676 0.8324 0.0000
```

---

The following is a DFT calculation (PBE) of a geometry-optimized Y3ScTe4 structure.

Summary:
Raw formation energy ... -1.250 eV/atom
Mass density ... 5.99 g/cm³
E ... -6.04 eV/atom
M_tot ... 0.000 μB per formula unit

Geometry as POSCAR:
```
Y3ScTe4
1.0
4.2870 0.0000 0.0000
0.0000 7.5022 -0.0447
0.0000 -2.4077 7.1055
Te Y Sc
4 3 1
direct
0.0000 0.2399 0.2399
0.5000 0.7552 0.2448
0.0000 0.7601 0.7601
0.5000 0.2448 0.7552
0.0000 0.5000 0.0000
0.5000 0.5000 0.5000
0.0000 0.0000 0.5000
0.5000 0.0000 0.0000
```

---

The following is a DFT calculation (PBE) of a geometry-optimized Ho3ErPt2 structure.

Summary:
Mass density ... 10.62 g/cm³
E ... -5.93 eV/atom
Energy relative to the lowest polymorph listed for this composition ... 103 meV/atom
M_tot ... 0.000 μB per formula unit
Formation enthalpy at 0 K ... -5.2 eV/f.u.

Geometry as POSCAR:
```
Ho3ErPt2
1.0
6.8636 0.0000 0.0000
0.0000 7.0449 0.0000
-3.4318 -3.5225 6.8033
Ho Pt Er
6 4 2
direct
0.2358 0.9858 0.4715
0.2358 0.4858 0.4715
0.5000 0.7500 0.0000
0.5000 0.2500 0.0000
0.7642 0.5142 0.5285
0.7642 0.0142 0.5285
0.4283 0.6397 0.2793
0.1490 0.8603 0.7207
0.5717 0.3603 0.7207
0.8510 0.1397 0.2793
0.0000 0.5000 0.0000
0.0000 0.0000 0.0000
```

---

The following is a DFT calculation (PBE) of a geometry-optimized CaTl2Cl3F structure.

Summary:
Raw formation energy ... -1.901 eV/atom
Mass density ... 4.71 g/cm³
E ... -3.92 eV/atom
M_tot ... 0.000 μB per formula unit

Geometry as POSCAR:
```
CaTl2Cl3F
1.0
-3.3202 -0.5416 -2.8122
-3.3982 -0.7253 4.1516
1.8201 9.0104 -0.4659
Cl Tl Ca F
3 2 1 1
direct
0.1650 0.1650 0.3301
0.8350 0.8350 0.6699
0.0000 0.5000 0.0000
0.6505 0.6505 0.3011
0.3495 0.3495 0.6989
0.0000 0.0000 0.0000
0.5000 0.0000 0.0000
```

---

The following is a DFT calculation (PBE) of a geometry-optimized Rb2Cu2HgI6 structure.

Summary:
Raw formation energy ... -0.624 eV/atom
Mass density ... 4.67 g/cm³
E ... -2.42 eV/atom
M_tot ... 0.000 μB per formula unit

Geometry as POSCAR:
```
Rb2Cu2HgI6
1.0
-2.1741 7.7612 -1.6984
2.1991 -5.1741 -6.4855
-7.5024 -1.3602 3.3883
I Hg Cu Rb
6 1 2 2
direct
0.6978 0.8978 0.2001
0.2403 0.4805 0.3175
0.3022 0.1022 0.7999
0.2000 0.8978 0.2001
0.8000 0.1022 0.7999
0.7597 0.5195 0.6825
0.5000 0.0000 0.5000
0.0492 0.0984 0.1992
0.9508 0.9016 0.8008
0.2639 0.5279 0.7790
0.7361 0.4721 0.2210
```